Entry a
An optimized crystal structure of CoSb2W. Source: Alexandria, functional GGA-PBE.

Geometry as extended XYZ:
```
4
Lattice="4.0381 0.0000 0.0000 0.0000 1.8508 4.9680 0.0000 -1.8508 4.9680" Properties=species:S:1:pos:R:3 pbc="T T T"
Co 0.0000 0.0000 0.0000
Sb 0.0000 0.0000 2.6709
Sb 2.0191 0.0000 5.6319
W 2.0191 0.0000 8.5051
```

---

Entry b
An optimized crystal structure of CoSb2W. Source: Alexandria, functional GGA-PBE.

Geometry as extended XYZ:
```
4
Lattice="3.1905 0.0000 0.0000 0.0000 4.9739 0.0000 0.0000 0.0000 4.5715" Properties=species:S:1:pos:R:3 pbc="T T T"
Co 0.0000 0.0000 0.0000
Sb 0.0000 2.4870 3.4239
Sb 1.5952 0.0000 2.1758
W 1.5952 2.4870 1.0453
```

---

Least stable: entry b